[1]
First-principles (PBE) data for a relaxed Re3B crystal, as listed in Alexandria via LeMat-Bulk.

Lattice parameters (Å, degrees): 2.914 7.663 4.653 90.00 90.00 90.00
Fractional positions:
1 Re 0.000 0.000 0.000
2 Re 0.000 0.197 0.510
3 Re 0.000 0.803 0.510
4 Re 0.500 0.303 0.010
5 Re 0.500 0.500 0.500
6 Re 0.500 0.697 0.010
7 B 0.000 0.500 0.846
8 B 0.500 0.000 0.346

Values from the calculation:
Formation enthalpy at 0 K = -0.0496 eV/atom
Energy relative to the lowest polymorph listed for this composition = 150 meV/atom
Spin magnetization = 0.00 μB/atom
DOS at the Fermi energy = 0.63 states/eV/atom

***

[2]
First-principles (PBE) data for a relaxed Re3B crystal, as listed in Alexandria via LeMat-Bulk.

Lattice parameters (Å, degrees): 9.430 9.430 4.588 90.00 90.00 90.00
Fractional positions:
1 Re 0.026 0.919 0.241
2 Re 0.081 0.526 0.741
3 Re 0.113 0.278 0.489
4 Re 0.138 0.828 0.750
5 Re 0.172 0.638 0.250
6 Re 0.222 0.113 0.011
7 Re 0.278 0.387 0.011
8 Re 0.328 0.862 0.250
9 Re 0.362 0.672 0.750
10 Re 0.387 0.222 0.489
11 Re 0.419 0.974 0.741
12 Re 0.474 0.581 0.241
13 Re 0.526 0.419 0.759
14 Re 0.581 0.026 0.259
15 Re 0.613 0.778 0.511
16 Re 0.638 0.328 0.250
17 Re 0.672 0.138 0.750
18 Re 0.722 0.613 0.989
19 Re 0.778 0.887 0.989
20 Re 0.828 0.362 0.750
21 Re 0.862 0.172 0.250
22 Re 0.887 0.722 0.511
23 Re 0.919 0.474 0.259
24 Re 0.974 0.081 0.759
25 B 0.040 0.294 0.998
26 B 0.206 0.040 0.502
27 B 0.294 0.460 0.502
28 B 0.460 0.206 0.998
29 B 0.540 0.794 0.002
30 B 0.706 0.540 0.498
31 B 0.794 0.960 0.498
32 B 0.960 0.706 0.002

Values from the calculation:
Formation enthalpy at 0 K = -0.1047 eV/atom
Energy relative to the lowest polymorph listed for this composition = 95 meV/atom
Spin magnetization = 0.00 μB/atom
DOS at the Fermi energy = 0.55 states/eV/atom

***

[3]
First-principles (PBE) data for a relaxed Re5B2 crystal, as listed in Alexandria via LeMat-Bulk.

Lattice parameters (Å, degrees): 6.936 6.936 5.463 96.46 96.46 41.80
Fractional positions:
1 Re 0.095 0.905 0.750
2 Re 0.124 0.310 0.304
3 Re 0.310 0.124 0.804
4 Re 0.314 0.490 0.071
5 Re 0.490 0.314 0.571
6 Re 0.510 0.686 0.429
7 Re 0.686 0.510 0.929
8 Re 0.690 0.876 0.196
9 Re 0.876 0.690 0.696
10 Re 0.905 0.095 0.250
11 B 0.067 0.709 0.416
12 B 0.291 0.933 0.084
13 B 0.709 0.067 0.916
14 B 0.933 0.291 0.584

Values from the calculation:
Formation enthalpy at 0 K = -0.1570 eV/atom
Spin magnetization = 0.00 μB/atom
DOS at the Fermi energy = 0.58 states/eV/atom

***

[4]
First-principles (PBE) data for a relaxed Re2B crystal, as listed in Alexandria via LeMat-Bulk.

Lattice parameters (Å, degrees): 5.535 5.535 4.610 90.00 90.00 90.00
Fractional positions:
1 Re 0.166 0.334 0.000
2 Re 0.166 0.666 0.500
3 Re 0.334 0.166 0.500
4 Re 0.334 0.834 0.000
5 Re 0.666 0.166 0.000
6 Re 0.666 0.834 0.500
7 Re 0.834 0.334 0.500
8 Re 0.834 0.666 0.000
9 B 0.000 0.000 0.250
10 B 0.000 0.000 0.750
11 B 0.500 0.500 0.250
12 B 0.500 0.500 0.750

Values from the calculation:
Formation enthalpy at 0 K = -0.1620 eV/atom
Energy relative to the lowest polymorph listed for this composition = 7 meV/atom
Spin magnetization = 0.00 μB/atom
DOS at the Fermi energy = 0.48 states/eV/atom